Sr2CoRu2 (PBE, optimized geometry); E = -5.1678 eV per atom; total magnetic moment = 0.8 μB per cell
1.0
3.5333 0.0000 0.0000
0.0000 3.5333 0.0000
1.7666 1.7666 9.3950
Ru Co Sr
2 1 2
direct
0.7500 0.2500 0.5000
0.2500 0.7500 0.5000
0.0000 0.0000 0.0000
0.3969 0.3969 0.2063
0.6031 0.6031 0.7937